No. 1
Compound: SrPdC
Source: Alexandria
Functional: GGA-PBE
Structure: relaxed

The volume comes out at 17.37 Å³/atom. Its formation energy is 0.2426 eV/atom.

a = 4.3396 Å, b = 4.3396 Å, c = 9.3238 Å
α = 102.92°, β = 102.92°, γ = 37.66°
With the nearest neighbours (Å) after each atom.
Positions (direct):
Sr 0.0542 0.0542 0.1965  2 Sr 2.80, 6 C 2.86-2.95, 3 Pd 3.05-3.12
Sr 0.9458 0.9458 0.8035  2 Sr 2.80, 6 C 2.86-2.95, 3 Pd 3.05-3.12
Pd 0.1574 0.1574 0.5751  5 Pd 2.63-2.80
Pd 0.8426 0.8426 0.4249  5 Pd 2.63-2.80
C 0.2848 0.2848 0.9993  2 C 1.51
C 0.7152 0.7152 0.0007  2 C 1.51

No. 2
Compound: Re2SiPb
Source: Alexandria
Functional: GGA-PBE
Structure: relaxed

The volume comes out at 17.21 Å³/atom. The value obtained for the uncorrected formation energy is 1.008 eV per atom.

a = 3.1097 Å, b = 4.3106 Å, c = 5.1346 Å
α = 90.00°, β = 90.00°, γ = 90.00°
With the nearest neighbours (Å) after each atom.
Positions (direct):
Re 0.0000 0.0000 0.0000  4 Pb 2.66
Re 0.5000 0.0000 0.5000  4 Si 2.66
Si 0.0000 0.5000 0.5000  4 Re 2.66
Pb 0.5000 0.5000 0.0000  4 Re 2.66